No. 1
# Sr2Zn3SnPd4, optimized geometry, DFT PBE
# Formation energy from the elements = -56.7 kJ/mol of atoms
# Electronic total energy = -3.783 eV/atom
# Spin magnetization = 0.0000 μB per atom
# V = 21.02 Å³ per atom
data_Sr2Zn3SnPd4
_cell_length_a 4.3643
_cell_length_b 4.3643
_cell_length_c 11.0363
_cell_angle_alpha 90.00
_cell_angle_beta 90.00
_cell_angle_gamma 90.00
_symmetry_space_group_name_H-M 'P -4 m 2'
_symmetry_Int_Tables_number 115
_symmetry_space_group_name_Hall 'P -4 -2'
loop_
_atom_site_label
_atom_site_fract_x
_atom_site_fract_y
_atom_site_fract_z
Sr1 0.0000 0.5000 0.2372
Zn1 0.0000 0.5000 0.8744
Zn2 0.5000 0.5000 0.5000
Sn1 0.0000 0.0000 0.5000
Pd1 0.0000 0.0000 0.0000
Pd2 0.0000 0.5000 0.6418
Pd3 0.5000 0.5000 0.0000

No. 2
# SrZnSn2Pd2, optimized geometry, DFT PBE
# Formation energy from the elements = -46.1 kJ/mol of atoms
# Electronic total energy = -4.036 eV/atom
# Spin magnetization = 0.0000 μB per atom
# V = 23.45 Å³ per atom
data_SrZnSn2Pd2
_cell_length_a 4.8112
_cell_length_b 4.8112
_cell_length_c 6.0779
_cell_angle_alpha 90.00
_cell_angle_beta 90.00
_cell_angle_gamma 90.00
_symmetry_space_group_name_H-M 'P 4/m m m'
_symmetry_Int_Tables_number 123
_symmetry_space_group_name_Hall '-P 4 2'
loop_
_atom_site_label
_atom_site_fract_x
_atom_site_fract_y
_atom_site_fract_z
Sr1 0.0000 0.0000 0.0000
Zn1 0.0000 0.0000 0.5000
Sn1 0.5000 0.5000 0.2454
Pd1 0.0000 0.5000 0.5000

No. 3
# Sr2ZnSn4Pd3, optimized geometry, DFT PBE
# Formation energy from the elements = -61.1 kJ/mol of atoms
# Electronic total energy = -4.256 eV/atom
# Spin magnetization = 0.0000 μB per atom
# V = 23.88 Å³ per atom
data_Sr2ZnSn4Pd3
_cell_length_a 4.6215
_cell_length_b 4.6215
_cell_length_c 11.1790
_cell_angle_alpha 90.00
_cell_angle_beta 90.00
_cell_angle_gamma 90.00
_symmetry_space_group_name_H-M 'P -4 m 2'
_symmetry_Int_Tables_number 115
_symmetry_space_group_name_Hall 'P -4 -2'
loop_
_atom_site_label
_atom_site_fract_x
_atom_site_fract_y
_atom_site_fract_z
Sr1 0.0000 0.5000 0.2451
Zn1 0.5000 0.5000 0.0000
Sn1 0.0000 0.0000 0.5000
Sn2 0.0000 0.5000 0.8688
Sn3 0.5000 0.5000 0.5000
Pd1 0.0000 0.0000 0.0000
Pd2 0.0000 0.5000 0.6299

No. 4
# SrZn2SnPd, optimized geometry, DFT PBE
# Formation energy from the elements = -43.0 kJ/mol of atoms
# Electronic total energy = -3.131 eV/atom
# Spin magnetization = 0.0000 μB per atom
# V = 22.57 Å³ per atom
data_SrZn2SnPd
_cell_length_a 4.6066
_cell_length_b 4.6524
_cell_length_c 10.5327
_cell_angle_alpha 90.00
_cell_angle_beta 90.00
_cell_angle_gamma 90.00
_symmetry_space_group_name_H-M 'I m m 2'
_symmetry_Int_Tables_number 44
_symmetry_space_group_name_Hall 'I 2 -2'
loop_
_atom_site_label
_atom_site_fract_x
_atom_site_fract_y
_atom_site_fract_z
Sr1 0.0000 0.0000 0.0000
Zn1 0.0000 0.0000 0.3640
Zn2 0.0000 0.5000 0.2615
Sn1 0.0000 0.0000 0.6241
Pd1 0.0000 0.5000 0.7512

- Look up the formation energy from the elements of the third one.
  -61.1 kJ/mol of atoms